This record from the Alexandria database describes an optimized crystal structure of LuTcGe. The functional is PBE.

Unit cell a=5.431 b=5.431 c=5.431 alpha=144.16 beta=144.16 gamma=51.59
Element x y z (fractional)
Lu 0.000 0.000 0.000
Tc 0.690 0.690 0.000
Ge 0.301 0.301 0.000

## Properties
The symmetry is I4mm. The formation energy is -0.438 eV/atom. The value obtained for the total magnetization is 0.000 μB per atom. The total energy comes out at -6.94 eV per atom.

=====

This record from the Alexandria database describes an optimized crystal structure of LuTh2Ge. The functional is PBE.

Unit cell a=12.003 b=12.003 c=12.003 alpha=16.53 beta=16.53 gamma=16.53
Element x y z (fractional)
Lu 0.000 0.000 0.000
Th 0.416 0.416 0.416
Th 0.584 0.584 0.584
Ge 0.500 0.500 0.500

## Properties
The symmetry is R-3m. The formation energy is 0.239 eV/atom. The value obtained for the total magnetization is 0.000 μB per atom. The total energy comes out at -5.76 eV per atom.

=====

This record from the Alexandria database describes an optimized crystal structure of LuThZnGe. The functional is PBE.

Unit cell a=5.078 b=5.078 c=5.078 alpha=60.00 beta=60.00 gamma=60.00
Element x y z (fractional)
Lu 0.000 0.000 0.000
Th 0.500 0.500 0.500
Zn 0.750 0.750 0.750
Ge 0.250 0.250 0.250

## Properties
The symmetry is F-43m. The formation energy is -0.411 eV/atom. The value obtained for the total magnetization is 0.000 μB per atom. The total energy comes out at -4.87 eV per atom.

=====

This record from the Alexandria database describes an optimized crystal structure of LuTiGe. The functional is PBE.

Unit cell a=4.011 b=4.011 c=7.502 alpha=90.00 beta=90.00 gamma=90.00
Element x y z (fractional)
Lu 0.250 0.250 0.158
Lu 0.750 0.750 0.842
Ti 0.250 0.750 0.500
Ti 0.750 0.250 0.500
Ge 0.250 0.250 0.752
Ge 0.750 0.750 0.248

## Properties
The symmetry is P4/nmm. The formation energy is -0.700 eV/atom. The value obtained for the total magnetization is 0.004 μB per atom. The total energy comes out at -6.38 eV per atom.

=====

This record from the Alexandria database describes an optimized crystal structure of LuTl2Ge. The functional is PBE.

Unit cell a=11.074 b=11.074 c=11.074 alpha=18.04 beta=18.04 gamma=18.04
Element x y z (fractional)
Lu 0.000 0.000 0.000
Tl 0.094 0.094 0.094
Tl 0.906 0.906 0.906
Ge 0.500 0.500 0.500

## Properties
The symmetry is R-3m. The formation energy is 0.226 eV/atom. The value obtained for the total magnetization is 0.000 μB per atom. The total energy comes out at -3.24 eV per atom.

=====

This record from the Alexandria database describes an optimized crystal structure of Lu2TlGe. The functional is PBE.

Unit cell a=8.584 b=8.584 c=8.584 alpha=25.60 beta=25.60 gamma=25.60
Element x y z (fractional)
Lu 0.238 0.238 0.238
Lu 0.762 0.762 0.762
Tl 0.000 0.000 0.000
Ge 0.500 0.500 0.500

## Properties
The symmetry is R-3m. The formation energy is -0.422 eV/atom. The value obtained for the total magnetization is 0.000 μB per atom. The total energy comes out at -4.43 eV per atom.

=====

This record from the Alexandria database describes an optimized crystal structure of Lu2TlGe. The functional is PBE.

Unit cell a=3.455 b=3.455 c=7.996 alpha=90.00 beta=90.00 gamma=90.00
Element x y z (fractional)
Lu 0.000 0.000 0.225
Lu 0.000 0.000 0.775
Tl 0.500 0.500 0.500
Ge 0.500 0.500 0.000

## Properties
The symmetry is P4/mmm. The formation energy is -0.419 eV/atom. The value obtained for the total magnetization is 0.000 μB per atom. The total energy comes out at -4.43 eV per atom.

=====

This record from the Alexandria database describes an optimized crystal structure of TmLu2Ge. The functional is PBE.

Unit cell a=10.948 b=10.948 c=10.948 alpha=18.25 beta=18.25 gamma=18.25
Element x y z (fractional)
Tm 0.000 0.000 0.000
Lu 0.103 0.103 0.103
Lu 0.897 0.897 0.897
Ge 0.500 0.500 0.500

## Properties
The symmetry is R-3m. The formation energy is -0.010 eV/atom. The value obtained for the total magnetization is 0.110 μB per atom. The total energy comes out at -4.54 eV per atom.

=====

This record from the Alexandria database describes an optimized crystal structure of TmLuGe2. The functional is PBE.

Unit cell a=4.693 b=4.693 c=3.934 alpha=90.00 beta=90.00 gamma=90.00
Element x y z (fractional)
Tm 0.000 0.000 0.000
Lu 0.500 0.500 0.000
Ge 0.000 0.500 0.500
Ge 0.500 0.000 0.500

## Properties
The symmetry is P4/mmm. The formation energy is -0.603 eV/atom. The value obtained for the total magnetization is 0.000 μB per atom. The total energy comes out at -5.16 eV per atom.

=====

This record from the Alexandria database describes an optimized crystal structure of TmLuGe. The functional is PBE.

Unit cell a=6.788 b=6.788 c=6.788 alpha=150.89 beta=150.89 gamma=41.63
Element x y z (fractional)
Tm 0.000 0.000 0.000
Lu 0.289 0.289 0.000
Ge 0.645 0.645 0.000

## Properties
The symmetry is I4mm. The formation energy is -0.441 eV/atom. The value obtained for the total magnetization is 0.000 μB per atom. The total energy comes out at -4.98 eV per atom.

=====

This record from the Alexandria database describes an optimized crystal structure of TmLuGe. The functional is PBE.

Unit cell a=4.733 b=4.733 c=3.844 alpha=90.00 beta=90.00 gamma=120.00
Element x y z (fractional)
Tm 0.000 0.000 0.000
Lu 0.333 0.667 0.479
Ge 0.667 0.333 0.717

## Properties
The symmetry is P3m1. The formation energy is -0.354 eV/atom. The value obtained for the total magnetization is 0.000 μB per atom. The total energy comes out at -4.89 eV per atom.

=====

This record from the Alexandria database describes an optimized crystal structure of TmLuZnGe. The functional is PBE.

Unit cell a=4.932 b=4.932 c=4.932 alpha=60.00 beta=60.00 gamma=60.00
Element x y z (fractional)
Tm 0.000 0.000 0.000
Lu 0.500 0.500 0.500
Zn 0.250 0.250 0.250
Ge 0.750 0.750 0.750

## Properties
The symmetry is F-43m. The formation energy is -0.492 eV/atom. The value obtained for the total magnetization is 0.000 μB per atom. The total energy comes out at -4.21 eV per atom.

=====

This record from the Alexandria database describes an optimized crystal structure of LuUGe2. The functional is PBE.

Unit cell a=3.290 b=3.290 c=7.878 alpha=90.00 beta=90.00 gamma=90.00
Element x y z (fractional)
Lu 0.000 0.000 0.000
U 0.000 0.000 0.500
Ge 0.500 0.500 0.246
Ge 0.500 0.500 0.754

## Properties
The symmetry is P4/mmm. The formation energy is -0.341 eV/atom. The value obtained for the total magnetization is 0.674 μB per atom. The total energy comes out at -6.60 eV per atom.

=====

This record from the Alexandria database describes an optimized crystal structure of LuVGe2. The functional is PBE.

Unit cell a=5.471 b=5.471 c=5.471 alpha=45.05 beta=45.05 gamma=45.05
Element x y z (fractional)
Lu 0.000 0.000 0.000
V 0.500 0.500 0.500
Ge 0.229 0.229 0.229
Ge 0.771 0.771 0.771

## Properties
The symmetry is R-3m. The formation energy is -0.360 eV/atom. The value obtained for the total magnetization is 0.348 μB per atom. The total energy comes out at -6.08 eV per atom.

=====

This record from the Alexandria database describes an optimized crystal structure of LuVGe2. The functional is PBE.

Unit cell a=3.375 b=3.375 c=6.230 alpha=90.00 beta=90.00 gamma=90.00
Element x y z (fractional)
Lu 0.000 0.000 0.000
V 0.000 0.000 0.500
Ge 0.500 0.500 0.294
Ge 0.500 0.500 0.706

## Properties
The symmetry is P4/mmm. The formation energy is -0.277 eV/atom. The value obtained for the total magnetization is 0.267 μB per atom. The total energy comes out at -6.00 eV per atom.

=====

This record from the Alexandria database describes an optimized crystal structure of LuGe2W. The functional is PBE.

Unit cell a=7.012 b=7.012 c=7.012 alpha=30.42 beta=30.42 gamma=30.42
Element x y z (fractional)
Lu 0.000 0.000 0.000
Ge 0.241 0.241 0.241
Ge 0.759 0.759 0.759
W 0.500 0.500 0.500

## Properties
The symmetry is R-3m. The formation energy is -0.097 eV/atom. The value obtained for the total magnetization is 0.000 μB per atom. The total energy comes out at -6.77 eV per atom.

=====

This record from the Alexandria database describes an optimized crystal structure of YLuZnGe. The functional is PBE.

Unit cell a=4.974 b=4.974 c=4.974 alpha=60.00 beta=60.00 gamma=60.00
Element x y z (fractional)
Y 0.000 0.000 0.000
Lu 0.500 0.500 0.500
Zn 0.250 0.250 0.250
Ge 0.750 0.750 0.750

## Properties
The symmetry is F-43m. The formation energy is -0.512 eV/atom. The value obtained for the total magnetization is 0.000 μB per atom. The total energy comes out at -4.73 eV per atom.

=====

This record from the Alexandria database describes an optimized crystal structure of LuZn2Ge. The functional is PBE.

Unit cell a=10.274 b=10.274 c=10.274 alpha=17.44 beta=17.44 gamma=17.44
Element x y z (fractional)
Lu 0.000 0.000 0.000
Zn 0.096 0.096 0.096
Zn 0.904 0.904 0.904
Ge 0.500 0.500 0.500

## Properties
The symmetry is R-3m. The formation energy is 0.332 eV/atom. The value obtained for the total magnetization is 0.000 μB per atom. The total energy comes out at -2.59 eV per atom.

=====

This record from the Alexandria database describes an optimized crystal structure of LuZn4Ge. The functional is PBE.

Unit cell a=5.318 b=5.318 c=5.318 alpha=60.00 beta=60.00 gamma=60.00
Element x y z (fractional)
Lu 0.000 0.000 0.000
Zn 0.125 0.625 0.625
Zn 0.625 0.125 0.625
Zn 0.625 0.625 0.125
Zn 0.625 0.625 0.625
Ge 0.250 0.250 0.250

## Properties
The symmetry is F-43m. The formation energy is -0.110 eV/atom. The value obtained for the total magnetization is 0.000 μB per atom. The total energy comes out at -2.48 eV per atom.

=====

This record from the Alexandria database describes an optimized crystal structure of LuZnGe. The functional is PBE.

Unit cell a=4.145 b=4.145 c=3.949 alpha=90.00 beta=90.00 gamma=120.00
Element x y z (fractional)
Lu 0.000 0.000 0.000
Zn 0.333 0.667 0.499
Ge 0.667 0.333 0.501

## Properties
The symmetry is P3m1. The formation energy is -0.546 eV/atom. The value obtained for the total magnetization is 0.000 μB per atom. The total energy comes out at -4.02 eV per atom.

=====

This record from the Alexandria database describes an optimized crystal structure of LuZnGe. The functional is PBE.

Unit cell a=4.984 b=4.984 c=4.984 alpha=134.03 beta=134.03 gamma=67.04
Element x y z (fractional)
Lu 0.000 0.000 0.000
Zn 0.661 0.661 0.000
Ge 0.347 0.347 0.000

## Properties
The symmetry is I4mm. The formation energy is -0.181 eV/atom. The value obtained for the total magnetization is 0.000 μB per atom. The total energy comes out at -3.65 eV per atom.

=====

This record from the Alexandria database describes an optimized crystal structure of LuZn2Ge. The functional is PBE.

Unit cell a=4.062 b=4.062 c=4.388 alpha=90.00 beta=90.00 gamma=90.00
Element x y z (fractional)
Lu 0.000 0.000 0.000
Zn 0.000 0.500 0.500
Zn 0.500 0.000 0.500
Ge 0.500 0.500 0.000

## Properties
The symmetry is P4/mmm. The formation energy is -0.392 eV/atom. The value obtained for the total magnetization is 0.000 μB per atom. The total energy comes out at -3.31 eV per atom.

=====

This record from the Alexandria database describes an optimized crystal structure of LuZrGe2. The functional is PBE.

Unit cell a=7.125 b=7.125 c=7.125 alpha=31.54 beta=31.54 gamma=31.54
Element x y z (fractional)
Lu 0.000 0.000 0.000
Zr 0.500 0.500 0.500
Ge 0.246 0.246 0.246
Ge 0.754 0.754 0.754

## Properties
The symmetry is R-3m. The formation energy is -0.692 eV/atom. The value obtained for the total magnetization is 0.000 μB per atom. The total energy comes out at -6.27 eV per atom.

=====

This record from the Alexandria database describes an optimized crystal structure of MgGe. The functional is PBE.

Unit cell a=10.351 b=10.351 c=10.351 alpha=157.47 beta=157.47 gamma=32.07
Element x y z (fractional)
Mg 0.067 0.317 0.750
Mg 0.317 0.067 0.250
Mg 0.683 0.933 0.750
Mg 0.933 0.683 0.250
Ge 0.206 0.456 0.750
Ge 0.456 0.206 0.250
Ge 0.544 0.794 0.750
Ge 0.794 0.544 0.250

## Properties
The symmetry is I4_1/amd. The formation energy is -0.103 eV/atom. The value obtained for the total magnetization is 0.000 μB per atom. The total energy comes out at -3.21 eV per atom.

=====

This record from the Alexandria database describes an optimized crystal structure of MgGe. The functional is PBE.

Unit cell a=6.961 b=6.494 c=5.592 alpha=69.87 beta=61.16 gamma=48.97
Element x y z (fractional)
Mg 0.076 0.674 0.076
Mg 0.326 0.924 0.326
Mg 0.674 0.076 0.674
Mg 0.924 0.326 0.924
Ge 0.195 0.555 0.555
Ge 0.445 0.805 0.805
Ge 0.555 0.195 0.195
Ge 0.805 0.445 0.445

## Properties
The symmetry is Fddd. The formation energy is 0.007 eV/atom. The value obtained for the total magnetization is 0.000 μB per atom. The total energy comes out at -3.10 eV per atom.

=====

This record from the Alexandria database describes an optimized crystal structure of MgGe. The functional is PBE.

Unit cell a=7.227 b=7.227 c=7.227 alpha=109.47 beta=109.47 gamma=109.47
Element x y z (fractional)
Mg 0.000 0.000 0.603
Mg 0.000 0.603 0.000
Mg 0.397 0.397 0.397
Mg 0.603 0.000 0.000
Ge 0.000 0.000 0.235
Ge 0.000 0.235 0.000
Ge 0.235 0.000 0.000
Ge 0.765 0.765 0.765

## Properties
The symmetry is I-43m. The formation energy is 0.423 eV/atom. The value obtained for the total magnetization is 0.000 μB per atom. The total energy comes out at -2.68 eV per atom.

=====

This record from the Alexandria database describes an optimized crystal structure of MgGe. The functional is PBE.

Unit cell a=7.697 b=7.697 c=5.054 alpha=90.00 beta=90.00 gamma=120.00
Element x y z (fractional)
Mg 0.065 0.269 0.250
Mg 0.204 0.935 0.250
Mg 0.269 0.204 0.750
Mg 0.731 0.796 0.250
Mg 0.796 0.065 0.750
Mg 0.935 0.731 0.750
Ge 0.104 0.486 0.750
Ge 0.382 0.896 0.750
Ge 0.486 0.382 0.250
Ge 0.514 0.618 0.750
Ge 0.618 0.104 0.250
Ge 0.896 0.514 0.250

## Properties
The symmetry is P6_3/m. The formation energy is 0.061 eV/atom. The value obtained for the total magnetization is 0.000 μB per atom. The total energy comes out at -3.04 eV per atom.